The following is a GGA-PBE calculation of a geometry-optimized SrCaSn2 structure, from the Alexandria database.

Output
Final energy ... -28.5 eV per cell
Energy of formation from the pure elements ... -640 meV/atom
Calculated volume ... 32.914 A^3/atom
Magnetic moment ... 0.0 Bohr magnetons per cell
Fermi-level density of states ... 0.3290 states/eV per atom

abc: 4.4690 6.3870 9.2248
angles: 90.00 90.00 90.00
Space group Pmc2_1 (No. 26)
Inequivalent atoms, fractional coordinates:
Sr 0.0000 0.1277 0.0000 [2 per cell]
Ca 0.5000 0.3708 0.6377 [2 per cell]
Sn 0.0000 0.3918 0.3636 [2 per cell]
Sn 0.5000 0.1204 0.2754 [2 per cell]